[1]
# Tb4Zn2CuHg

Tb4Zn2CuHg after structural relaxation (GGA-PBE, Alexandria).

formation enthalpy at 0 K = -0.332 eV/atom
SG = R-3m (166)
uncorrected energy = -3.5158 eV per atom
crystal system = trigonal

a = 8.8365 Å, b = 8.8365 Å, c = 8.8365 Å
α = 33.53°, β = 33.53°, γ = 33.53°
Last column: nearest neighbours and their distance in Å.
Fractional coordinates of all 8 atoms:
Tb1 0.1199 0.1199 0.1199  1 Cu 3.00, 4 Zn 3.07-3.21, 3 Hg 3.17
Tb2 0.3702 0.3702 0.3702  4 Zn 3.05-3.18, 3 Cu 3.08, 1 Hg 3.24
Tb3 0.6298 0.6298 0.6298  4 Zn 3.05-3.18, 3 Cu 3.08, 1 Hg 3.24
Tb4 0.8801 0.8801 0.8801  1 Cu 3.00, 4 Zn 3.07-3.21, 3 Hg 3.17
Zn1 0.2484 0.2484 0.2484  8 Tb 3.05-3.21
Zn2 0.7516 0.7516 0.7516  8 Tb 3.05-3.21
Cu1 0.0000 0.0000 0.0000  8 Tb 3.00-3.08
Hg1 0.5000 0.5000 0.5000  8 Tb 3.17-3.24

=====

[2]
# Tb4ZnCuHg2

Tb4ZnCuHg2 after structural relaxation (GGA-PBE, Alexandria).

formation enthalpy at 0 K = -0.365 eV/atom
SG = R-3m (166)
uncorrected energy = -3.4264 eV per atom
crystal system = trigonal

a = 8.9341 Å, b = 8.9341 Å, c = 8.9341 Å
α = 33.61°, β = 33.61°, γ = 33.61°
Last column: nearest neighbours and their distance in Å.
Fractional coordinates of all 8 atoms:
Tb1 0.1226 0.1226 0.1226  1 Cu 3.10, 4 Hg 3.12-3.14, 3 Zn 3.18
Tb2 0.3730 0.3730 0.3730  3 Cu 3.15, 4 Hg 3.19-3.21, 1 Zn 3.21
Tb3 0.6270 0.6270 0.6270  3 Cu 3.15, 4 Hg 3.19-3.21, 1 Zn 3.21
Tb4 0.8774 0.8774 0.8774  1 Cu 3.10, 4 Hg 3.12-3.14, 3 Zn 3.18
Zn1 0.5000 0.5000 0.5000  8 Tb 3.18-3.21
Cu1 0.0000 0.0000 0.0000  8 Tb 3.10-3.15
Hg1 0.2469 0.2469 0.2469  8 Tb 3.12-3.21
Hg2 0.7531 0.7531 0.7531  8 Tb 3.12-3.21

=====

[3]
# CuTcHg2

CuTcHg2 after structural relaxation (GGA-PBE, Alexandria).

formation enthalpy at 0 K = 0.636 eV/atom
ΔE to the lowest computed polymorph = 0.167 eV per atom
SG = I-4m2 (119)
uncorrected energy = -3.1304 eV per atom
crystal system = tetragonal

a = 5.0617 Å, b = 5.0617 Å, c = 5.0617 Å
α = 131.59°, β = 131.59°, γ = 70.88°
Last column: nearest neighbours and their distance in Å.
Fractional coordinates of all 4 atoms:
Cu1 0.0000 0.0000 0.0000  8 Hg 2.93, 4 Tc 2.93
Tc1 0.7500 0.2500 0.5000  8 Hg 2.93, 4 Cu 2.93
Hg1 0.2500 0.7500 0.5000  4 Hg 2.93, 4 Cu 2.93, 4 Tc 2.93
Hg2 0.5000 0.5000 0.0000  4 Hg 2.93, 4 Tc 2.93, 4 Cu 2.93

=====

[4]
# Cu2TcHg

Cu2TcHg after structural relaxation (GGA-PBE, Alexandria).

formation enthalpy at 0 K = 0.421 eV/atom
SG = C2/m (12)
uncorrected energy = -4.2944 eV per atom
crystal system = monoclinic

a = 4.6486 Å, b = 4.6486 Å, c = 5.1734 Å
α = 97.43°, β = 97.43°, γ = 33.60°
Last column: nearest neighbours and their distance in Å.
Fractional coordinates of all 4 atoms:
Cu1 0.2451 0.2451 0.2130  4 Cu 2.59-2.69, 3 Tc 2.65-2.67, 3 Hg 2.80-2.87
Cu2 0.7549 0.7549 0.7870  4 Cu 2.59-2.69, 3 Tc 2.65-2.67, 3 Hg 2.80-2.87
Tc1 0.5000 0.5000 0.0000  6 Cu 2.65-2.67, 2 Tc 2.69, 4 Hg 2.91
Hg1 0.0000 0.0000 0.5000  2 Hg 2.69, 6 Cu 2.80-2.87, 4 Tc 2.91

=====

[5]
# CuTcHg2

CuTcHg2 after structural relaxation (GGA-PBE, Alexandria).

formation enthalpy at 0 K = 0.481 eV/atom
ΔE to the lowest computed polymorph = 0.012 eV per atom
SG = Cmmm (65)
uncorrected energy = -3.2859 eV per atom
crystal system = orthorhombic

a = 5.0126 Å, b = 5.0126 Å, c = 2.8953 Å
α = 90.00°, β = 90.00°, γ = 107.53°
Last column: nearest neighbours and their distance in Å.
Fractional coordinates of all 4 atoms:
Cu1 0.0000 0.0000 0.0000  8 Hg 2.89, 2 Cu 2.90, 2 Tc 2.96
Tc1 0.5000 0.5000 0.0000  8 Hg 2.89, 2 Tc 2.90, 2 Cu 2.96
Hg1 0.0000 0.5000 0.5000  4 Tc 2.89, 4 Cu 2.89, 4 Hg 2.90-2.96
Hg2 0.5000 0.0000 0.5000  4 Tc 2.89, 4 Cu 2.89, 4 Hg 2.90-2.96

=====

[6]
# CuTcHg2

CuTcHg2 after structural relaxation (GGA-PBE, Alexandria).

formation enthalpy at 0 K = 0.511 eV/atom
ΔE to the lowest computed polymorph = 0.042 eV per atom
SG = P2/m (10)
uncorrected energy = -3.2554 eV per atom
crystal system = monoclinic

a = 3.0111 Å, b = 3.0467 Å, c = 7.5340 Å
α = 90.00°, β = 90.06°, γ = 90.00°
Last column: nearest neighbours and their distance in Å.
Fractional coordinates of all 4 atoms:
Cu1 0.0000 0.0000 0.0000  8 Hg 2.79-2.80, 4 Cu 3.01-3.05
Tc1 0.0000 0.0000 0.5000  8 Hg 2.91, 4 Tc 3.01-3.05
Hg1 0.5005 0.5000 0.2384  4 Cu 2.79-2.80, 4 Tc 2.91, 4 Hg 3.01-3.05
Hg2 0.4995 0.5000 0.7616  4 Cu 2.79-2.80, 4 Tc 2.91, 4 Hg 3.01-3.05

=====

[7]
# Cu2TcHg

Cu2TcHg after structural relaxation (GGA-PBE, Alexandria).

formation enthalpy at 0 K = 0.422 eV/atom
SG = Pm (6)
uncorrected energy = -4.2935 eV per atom
crystal system = monoclinic

a = 2.6719 Å, b = 4.2576 Å, c = 5.4185 Å
α = 90.00°, β = 104.11°, γ = 90.00°
Last column: nearest neighbours and their distance in Å.
Fractional coordinates of all 4 atoms:
Cu1 0.0000 0.0000 0.0000  4 Cu 2.51-2.67, 1 Hg 2.67, 4 Tc 2.71-2.72
Cu2 0.1269 0.5000 0.2541  4 Cu 2.51-2.67, 2 Tc 2.71, 4 Hg 2.80-2.81
Tc1 0.4044 0.5000 0.8046  2 Tc 2.67, 7 Cu 2.71-2.89
Hg1 0.7474 0.0000 0.4910  2 Hg 2.67, 7 Cu 2.67-2.91

=====

[8]
# Cu2TcHg

Cu2TcHg after structural relaxation (GGA-PBE, Alexandria).

formation enthalpy at 0 K = 0.377 eV/atom
SG = R-3m (166)
uncorrected energy = -4.3381 eV per atom
crystal system = trigonal

a = 9.1664 Å, b = 9.1664 Å, c = 9.1664 Å
α = 17.57°, β = 17.57°, γ = 17.57°
Last column: nearest neighbours and their distance in Å.
Fractional coordinates of all 4 atoms:
Cu1 0.2443 0.2443 0.2443  3 Tc 2.65, 6 Cu 2.80, 3 Hg 2.90
Cu2 0.7557 0.7557 0.7557  3 Tc 2.65, 6 Cu 2.80, 3 Hg 2.90
Tc1 0.5000 0.5000 0.5000  6 Cu 2.65, 6 Tc 2.80
Hg1 0.0000 0.0000 0.0000  6 Hg 2.80, 6 Cu 2.90

=====

> Number 6 is which compound?

CuTcHg2

=====

> Which of these has the highest formation enthalpy at 0 K?

number 3